Entry from the Alexandria database: RbLa2W2N6 after structural relaxation (GGA-PBE).

Geometry as POSCAR:
```
RbLa2W2N6
1.0
6.5722 0.0000 0.0000
-2.9943 6.1396 0.0000
-3.0668 -2.0153 5.9493
Rb La W N
1 2 2 6
direct
0.0000 0.0000 0.0000 Rb
0.3758 0.6801 0.2868 La
0.6242 0.3199 0.7132 La
0.2295 0.6717 0.6861 W
0.7705 0.3283 0.3139 W
0.1359 0.6620 0.9035 N
0.2869 0.9062 0.5624 N
0.4534 0.5750 0.6938 N
0.5466 0.4250 0.3062 N
0.7131 0.0938 0.4376 N
0.8641 0.3379 0.0965 N
```

Calculated values
Spin magnetization in μB/f.u.: 1.06
Crystal system: triclinic
E_tot in eV/atom: -8.495
SG: P-1, No. 2
Energy relative to the elements, uncorrected in kcal/mol of atoms: -14.17